(1)
A plane-wave DFT calculation with SCAN was carried out for a PBEsol-optimized structure of MnOs2Br.

```
MnOs2Br
1.0
-2.305 1.558 0.215
-0.129 -2.451 -1.326
-2.117 -4.245 8.052
Mn Os Br
1 2 1
Cartesian
-1.725 -1.465 1.375 Mn
-2.873 -3.768 5.745 Os
-0.026 -0.052 0.098 Os
-0.986 -1.977 3.749 Br
```

Computed properties:
- magnetic moment (μB per formula unit) = 3.7



(2)
A plane-wave DFT calculation with SCAN was carried out for a PBEsol-optimized structure of Mn4PBr.

```
Mn4PBr
1.0
-3.946 -2.732 -1.040
0.551 -4.432 -2.042
-0.945 -4.045 2.619
Mn P Br
4 1 1
Cartesian
-1.362 -6.409 -1.182 Mn
-3.583 -5.570 -0.688 Mn
-2.101 -6.218 1.119 Mn
-1.634 -4.221 -0.174 Mn
-3.255 -8.407 -0.347 P
0.000 0.000 0.000 Br
```

Computed properties:
- magnetic moment (μB per formula unit) = 11.6



(3)
A plane-wave DFT calculation with SCAN was carried out for a PBEsol-optimized structure of MnPS2Br.

```
MnPS2Br
1.0
4.231 0.000 0.000
0.000 4.231 0.000
0.000 0.000 4.860
S Mn Br P
2 1 1 1
Cartesian
0.000 2.116 0.000 S
2.116 0.000 0.000 S
0.000 0.000 0.000 Mn
2.116 2.116 2.430 Br
0.000 0.000 2.430 P
```

Computed properties:
- magnetic moment (μB per formula unit) = 2.4



(4)
A plane-wave DFT calculation with SCAN was carried out for a PBEsol-optimized structure of MnP2SeBr.

```
MnP2SeBr
1.0
-3.575 2.162 -0.698
0.066 -1.203 -4.061
-2.742 -4.151 1.186
P Se Mn Br
2 1 1 1
Cartesian
0.033 -0.602 -2.030 P
-1.787 1.081 -0.349 P
-3.126 -1.597 -1.786 Se
0.000 0.000 0.000 Mn
-1.371 -2.076 0.593 Br
```

Computed properties:
- magnetic moment (μB per formula unit) = 0.4



(5)
A plane-wave DFT calculation with SCAN was carried out for a PBEsol-optimized structure of ZrMnPBr2.

```
ZrMnPBr2
1.0
4.493 0.000 0.000
0.000 4.493 0.000
0.000 0.000 5.339
Zr P Br Mn
1 1 2 1
Cartesian
0.000 0.000 2.670 Zr
2.246 2.246 2.670 P
0.000 2.246 0.000 Br
2.246 0.000 0.000 Br
0.000 0.000 0.000 Mn
```

Computed properties:
- magnetic moment (μB per formula unit) = 1.4



(6)
A plane-wave DFT calculation with SCAN was carried out for a PBEsol-optimized structure of Mn2PbBr.

```
Mn2PbBr
1.0
-2.578 -1.206 1.577
1.603 -4.578 2.476
1.083 0.265 5.330
Mn Pb Br
2 1 1
Cartesian
-1.182 -2.030 3.229 Mn
1.290 -3.489 6.154 Mn
-1.289 -0.603 0.788 Pb
1.343 -2.156 3.903 Br
```

Computed properties:
- magnetic moment (μB per formula unit) = 8.0



| no. | mass density (g/cm3) | formation energy from raw total energies (kJ per mole of atoms) |
| --- | --- | --- |
| 1 | 13.48 | 76.3 |
| 2 | 6.56 | 55.8 |
| 3 | 4.39 | 36.0 |
| 4 | 4.99 | 53.5 |
| 5 | 5.19 | 29.3 |
| 6 | 8.22 | 15.5 |